A relaxed structure of GaHg2Te2. Source: the Alexandria database, functional PBE.

- Energy: -1.862 eV per atom
- Relative energy among the computed polymorphs: 6.4 kJ per mole of atoms
- Space group: I4/mmm
- Volume: 151.3 Å³/f.u.

```
GaHg2Te2
1.0
-2.9229 2.9229 4.4263
2.9229 -2.9229 4.4263
2.9229 2.9229 -4.4263
Ga Hg Te
1 2 2
Cartesian
0.0000 0.0000 0.0000 Ga
0.0000 0.0000 2.9745 Hg
0.0000 0.0000 5.8780 Hg
2.9229 0.0000 2.2131 Te
0.0000 2.9229 2.2131 Te
```